This record from the Alexandria database describes a relaxed structure of K5Si. The functional is GGA-PBEsol.

Summary:
total magnetic moment	0.00	μB/cell
SG	Cmmm
energy	-10.02	eV for the cell shown

Lattice parameters (Å, degrees): 5.7930 5.8985 8.6741 90.00 109.51 90.00
Atoms (fractional coordinates):
K: 0.3645 0.5000 0.7291
K: 0.1347 0.0000 0.2694
K: 0.0000 0.5000 0.0000
K: 0.8653 0.0000 0.7306
K: 0.6355 0.5000 0.2709
Si: 0.5000 0.0000 0.0000

***

This record from the Alexandria database describes a relaxed structure of AlCo2P. The functional is GGA-PBEsol.

Summary:
DFT formation energy	-0.378	eV/atom
total magnetic moment	0.10	μB/cell
energy relative to the lowest polymorph listed for this composition	10	meV per atom
SG	Amm2
energy	-26.87	eV for the cell shown

Lattice parameters (Å, degrees): 2.6790 4.0385 4.4053 90.00 107.67 90.00
Last column: magnetic moment on the atom in μB.
Atoms (fractional coordinates):
P: 0.6665 0.0000 0.4578  0.00
Co: 0.9450 0.0000 0.0144  0.07
Co: 0.5770 0.5000 0.2791  0.03
Al: 0.3114 0.5000 0.7487  0.00

***

This record from the Alexandria database describes a relaxed structure of KRuIO2. The functional is GGA-PBEsol.

Summary:
total magnetic moment	5.75	μB/cell
SG	P4/mmm
energy	-16.74	eV for the cell shown

Lattice parameters (Å, degrees): 4.3752 4.3752 6.2449 90.00 90.00 90.00
Last column: magnetic moment on the atom in μB.
Atoms (fractional coordinates):
I: 0.0000 0.0000 0.5000  0.10
Ru: 0.5000 0.5000 0.5000  2.70
K: 0.0000 0.0000 0.0000  0.12
O: 0.0000 0.5000 0.0000  1.06
O: 0.5000 0.0000 0.0000  1.06

***

This record from the Alexandria database describes a relaxed structure of ZnPOs3. The functional is GGA-PBEsol.

Summary:
DFT formation energy	2.470	eV/atom
total magnetic moment	0.00	μB/cell
energy relative to the lowest polymorph listed for this composition	1491	meV per atom
SG	Pm-3m
energy	-31.67	eV for the cell shown

Lattice parameters (Å, degrees): 4.4248 4.4248 4.4248 90.00 90.00 90.00
Atoms (fractional coordinates):
P: 0.5000 0.5000 0.5000
Zn: 0.0000 0.0000 0.0000
Os: 0.0000 0.5000 0.0000
Os: 0.0000 0.0000 0.5000
Os: 0.5000 0.0000 0.0000

***

This record from the Alexandria database describes a relaxed structure of Ta2BeAl. The functional is GGA-PBEsol.

Summary:
DFT formation energy	0.006	eV/atom
total magnetic moment	0.00	μB/cell
energy relative to the lowest polymorph listed for this composition	159	meV per atom
SG	Imm2
energy	-33.17	eV for the cell shown

Lattice parameters (Å, degrees): 3.3346 4.2333 5.0172 114.95 109.41 90.00
Atoms (fractional coordinates):
Be: 0.7617 0.2617 0.5235
Al: 0.4736 0.4736 0.9473
Ta: 0.0175 0.0175 0.0351
Ta: 0.2471 0.7471 0.4942

***

This record from the Alexandria database describes a relaxed structure of MgBeBr. The functional is GGA-PBEsol.

Summary:
total magnetic moment	0.00	μB/cell
energy relative to the lowest polymorph listed for this composition	0	meV per atom
SG	P3m1
energy	-7.34	eV for the cell shown

Lattice parameters (Å, degrees): 3.4306 3.4306 5.5956 90.00 90.00 120.00
Atoms (fractional coordinates):
Be: 0.0000 0.0000 0.9927
Mg: 0.6667 0.3333 0.3001
Br: 0.3333 0.6667 0.7071

***

This record from the Alexandria database describes a relaxed structure of Al3Cr. The functional is GGA-PBEsol.

Summary:
DFT formation energy	-0.061	eV/atom
total magnetic moment	1.98	μB/cell
SG	Pmmn
energy	-45.52	eV for the cell shown

Lattice parameters (Å, degrees): 4.4823 4.7917 5.2049 90.00 90.00 90.00
Last column: magnetic moment on the atom in μB.
Atoms (fractional coordinates):
Cr: 0.0000 0.3525 0.0000  1.05
Cr: 0.5000 0.6475 0.5000  1.05
Al: 0.5000 0.6416 0.0000  -0.01
Al: 0.0000 0.3584 0.5000  -0.01
Al: 0.0000 0.8445 0.7515  -0.02
Al: 0.0000 0.8445 0.2485  -0.02
Al: 0.5000 0.1555 0.2515  -0.02
Al: 0.5000 0.1555 0.7485  -0.02

***

This record from the Alexandria database describes a relaxed structure of BaGd2Se4. The functional is GGA-PBEsol.

Summary:
total magnetic moment	0.05	μB/cell
SG	Pnma
energy	-241.35	eV for the cell shown

Lattice parameters (Å, degrees): 4.2040 12.5859 15.0983 90.00 90.00 90.00
Last column: magnetic moment on the atom in μB.
Atoms (fractional coordinates):
Ba: 0.7500 0.7440 0.1628  0.00
Ba: 0.7500 0.2440 0.3372  0.00
Ba: 0.2500 0.2560 0.8372  0.00
Ba: 0.2500 0.7560 0.6628  0.00
Gd: 0.7500 0.0721 0.1072  6.89
Gd: 0.7500 0.5721 0.3928  6.89
Gd: 0.2500 0.9279 0.8928  6.89
Gd: 0.2500 0.4279 0.6072  6.89
Gd: 0.7500 0.0766 0.6013  -6.89
Gd: 0.7500 0.5766 0.8987  -6.89
Gd: 0.2500 0.9234 0.3987  -6.89
Gd: 0.2500 0.4234 0.1013  -6.89
Se: 0.7500 0.2902 0.6692  0.00
Se: 0.7500 0.7902 0.8308  0.00
Se: 0.2500 0.7098 0.3308  0.00
Se: 0.2500 0.2098 0.1692  0.00
Se: 0.7500 0.3692 0.9775  0.01
Se: 0.7500 0.8692 0.5225  0.01
Se: 0.2500 0.6308 0.0225  0.01
Se: 0.2500 0.1308 0.4775  0.01
Se: 0.7500 0.9809 0.2825  0.01
Se: 0.7500 0.4809 0.2175  0.01
Se: 0.2500 0.0191 0.7175  0.01
Se: 0.2500 0.5191 0.7825  0.01
Se: 0.7500 0.0806 0.9198  -0.01
Se: 0.7500 0.5806 0.5802  -0.01
Se: 0.2500 0.9194 0.0802  -0.01
Se: 0.2500 0.4194 0.4198  -0.01